A geometry-optimized Ac3AlSi3 structure. Source: Alexandria, functional PBE.

Cell: 4.1653 4.7501 19.1991 Å, 90.00 90.00 90.00°
Space group Imm2 (No. 44)
One atom of each set of equivalent atoms:
Ac 0.0000 0.0000 0.0000 [2 per cell]
Ac 0.0000 0.0000 0.3687 [2 per cell]
Ac 0.0000 0.5000 0.6897 [2 per cell]
Al 0.0000 0.5000 0.1214 [2 per cell]
Si 0.0000 0.0000 0.5479 [2 per cell]
Si 0.0000 0.0000 0.8229 [2 per cell]
Si 0.0000 0.5000 0.2519 [2 per cell]

E above lowest polymorph ... 0.000 eV/atom
Density of states at the Fermi level ... 10.0 states/eV per cell
E_form (uncorrected) ... -0.57 eV per atom
DFT total energy ... -5.19 eV per atom